First-principles (PBE-GGA) data for CsGeSb2 after structural relaxation, as listed in the Alexandria database.

abc: 5.8665 10.8303 10.4470
angles: 90.00 78.35 90.00
With the nearest neighbours (Å) after each atom.
Positions (direct):
Cs: 0.1642 0.4216 0.1540  1 Ge 3.69, 5 Sb 3.70-4.11
Cs: 0.3358 0.9216 0.8460  1 Ge 3.69, 5 Sb 3.70-4.11
Cs: 0.6642 0.0784 0.1540  1 Ge 3.69, 5 Sb 3.70-4.11
Cs: 0.8358 0.5784 0.8460  1 Ge 3.69, 5 Sb 3.70-4.11
Ge: 0.8471 0.0796 0.6512  3 Sb 2.72-3.03
Ge: 0.3471 0.4204 0.6512  3 Sb 2.72-3.03
Ge: 0.1529 0.9204 0.3488  3 Sb 2.72-3.03
Ge: 0.6529 0.5796 0.3488  3 Sb 2.72-3.03
Sb: 0.4616 0.7307 0.1849  2 Ge 2.76-3.03, 2 Sb 2.96
Sb: 0.9616 0.7693 0.1849  2 Ge 2.76-3.03, 2 Sb 2.96
Sb: 0.0183 0.1894 0.4172  1 Ge 2.72
Sb: 0.0384 0.2307 0.8151  2 Ge 2.76-3.03, 2 Sb 2.96
Sb: 0.9817 0.8106 0.5828  1 Ge 2.72
Sb: 0.4817 0.6894 0.5828  1 Ge 2.72
Sb: 0.5384 0.2693 0.8151  2 Ge 2.76-3.03, 2 Sb 2.96
Sb: 0.5183 0.3106 0.4172  1 Ge 2.72

Its crystal system is monoclinic. For the total energy, the calculation gives -3.485 eV/atom. The uncorrected formation energy comes out at -0.06 eV/atom.